Record 1
PrNi5As3: relaxed, PBE-GGA.

Values from the calculation:
Calculated formation energy: -5.12 eV per formula unit

Structure (POSCAR):
```
PrNi5As3
1.0
3.762 0.000 0.000
-1.881 6.092 0.000
0.000 0.000 11.832
Pr Ni As
2 10 6
direct
0.837 0.675 0.750
0.163 0.325 0.250
0.806 0.611 0.432
0.194 0.389 0.932
0.000 0.000 0.500
0.000 0.000 0.000
0.451 0.902 0.145
0.549 0.098 0.855
0.549 0.098 0.645
0.806 0.611 0.068
0.194 0.389 0.568
0.451 0.902 0.355
0.379 0.759 0.957
0.886 0.772 0.250
0.379 0.759 0.543
0.621 0.241 0.457
0.114 0.228 0.750
0.621 0.241 0.043
```

---

Record 2
Ba3VTe: relaxed, PBE-GGA.

Values from the calculation:
Energy above the most stable polymorph in this dataset: 0.000 eV per atom
Energy relative to the elements, uncorrected: 123.0 meV/atom

Structure (POSCAR):
```
Ba3VTe
1.0
-0.631 2.944 5.062
-5.765 -1.203 -0.019
1.024 -4.957 3.011
Te Ba V
1 3 1
direct
0.500 0.500 0.500
0.000 0.500 0.000
0.000 0.000 0.500
0.500 0.000 0.000
0.000 0.000 0.000
```